! ThBiPb (PBE, relaxed); values from VASP
&SYSTEM
  ibrav = 0, nat = 3, ntyp = 3
/
ATOMIC_SPECIES
Pb 207.20 Pb.upf
Bi 208.98 Bi.upf
Th 232.04 Th.upf
CELL_PARAMETERS angstrom
4.164 0.000 0.000
0.000 4.164 0.000
-2.082 -2.082 5.350
ATOMIC_POSITIONS crystal
Pb 0.618 0.618 0.237
Bi 0.942 0.942 0.885
Th 0.289 0.289 0.578
! - E_tot: -5.24 eV per atom
! - Total moment: 0.00 μB/atom
! - Energy of formation: -23.26 kJ/mol of atoms
! - Polymorph energy (0 for the lowest one): 0.147 eV per atom



! Sr4ZnSb4 (PBE, relaxed); values from VASP
&SYSTEM
  ibrav = 0, nat = 18, ntyp = 3
/
ATOMIC_SPECIES
Sr 87.62 Sr.upf
Sb 121.76 Sb.upf
Zn 65.41 Zn.upf
CELL_PARAMETERS angstrom
6.883 0.000 0.000
0.000 9.587 0.000
0.000 0.000 9.587
ATOMIC_POSITIONS crystal
Sr 0.703 0.000 0.737
Sr 0.797 0.500 0.237
Sr 0.297 0.737 0.000
Sr 0.297 0.263 0.000
Sr 0.203 0.763 0.500
Sr 0.203 0.237 0.500
Sr 0.797 0.500 0.763
Sr 0.703 0.000 0.263
Sb 0.788 0.762 0.000
Sb 0.288 0.500 0.738
Sb 0.288 0.500 0.262
Sb 0.212 0.000 0.762
Sb 0.712 0.262 0.500
Sb 0.788 0.238 0.000
Sb 0.212 0.000 0.238
Sb 0.712 0.738 0.500
Zn 0.000 0.000 0.000
Zn 0.500 0.500 0.500
! - E_tot: -3.54 eV per atom
! - Total moment: 0.00 μB/atom
! - Formation energy from raw total energies: -79 kJ/mol of atoms



! NbIn2Ga (PBE, relaxed); values from VASP
&SYSTEM
  ibrav = 0, nat = 4, ntyp = 3
/
ATOMIC_SPECIES
Ga 69.72 Ga.upf
In 114.82 In.upf
Nb 92.91 Nb.upf
CELL_PARAMETERS angstrom
-1.945 0.271 -2.283
-2.822 -1.008 0.298
-4.884 10.177 3.385
ATOMIC_POSITIONS crystal
Ga 0.500 0.500 0.500
In 0.915 0.915 0.254
In 0.085 0.085 0.746
Nb 0.000 0.000 0.000
! - E_tot: -4.22 eV per atom
! - Total moment: 0.00 μB/atom
! - Energy of formation: 40.76 kJ/mol of atoms



! TlPOs2 (PBE, relaxed); values from VASP
&SYSTEM
  ibrav = 0, nat = 4, ntyp = 3
/
ATOMIC_SPECIES
Tl 204.38 Tl.upf
Os 190.23 Os.upf
P 30.97 P.upf
CELL_PARAMETERS angstrom
6.158 -1.842 0.006
6.158 1.842 0.006
5.605 0.000 3.147
ATOMIC_POSITIONS crystal
Tl 0.000 0.000 0.000
Os 0.218 0.218 0.218
Os 0.782 0.782 0.782
P 0.500 0.500 0.500
! - E_tot: -7.09 eV per atom
! - Total moment: 0.00 μB/atom
! - Energy of formation: 44.80 kJ/mol of atoms
! - Polymorph energy (0 for the lowest one): 0.071 eV per atom



! ErTi2Nb (PBE, relaxed); values from VASP
&SYSTEM
  ibrav = 0, nat = 4, ntyp = 3
/
ATOMIC_SPECIES
Ti 47.87 Ti.upf
Er 167.26 Er.upf
Nb 92.91 Nb.upf
CELL_PARAMETERS angstrom
-1.675 2.307 1.189
-2.392 -0.623 1.853
4.646 0.870 8.865
ATOMIC_POSITIONS crystal
Ti 0.258 0.258 0.226
Ti 0.742 0.742 0.774
Er 0.500 0.500 0.500
Nb 0.000 0.000 0.000
! - E_tot: -7.32 eV per atom
! - Total moment: 0.00 μB/atom
! - Energy of formation: 27.50 kJ/mol of atoms
! - Polymorph energy (0 for the lowest one): 0.205 eV per atom



! TlSi2Ge2 (PBE, relaxed); values from VASP
&SYSTEM
  ibrav = 0, nat = 5, ntyp = 3
/
ATOMIC_SPECIES
Si 28.09 Si.upf
Ge 72.64 Ge.upf
Tl 204.38 Tl.upf
CELL_PARAMETERS angstrom
4.736 0.000 0.000
0.000 4.736 0.000
2.368 2.368 4.688
ATOMIC_POSITIONS crystal
Si 0.250 0.750 0.500
Si 0.750 0.250 0.500
Ge 0.362 0.362 0.275
Ge 0.638 0.638 0.725
Tl 0.000 0.000 0.000
! - E_tot: -4.19 eV per atom
! - Total moment: 0.00 μB/atom
! - Polymorph energy (0 for the lowest one): 0.075 eV per atom
! - Formation energy from raw total energies: 29 kJ/mol of atoms